Entry w
# ReSbPtI2

ReSbPtI2 after structural relaxation (PBE-GGA, Alexandria via LeMat-Bulk). Values from VASP.

Calculated values
As for the symmetry: P4/mmm, No. 123. For the total magnetization, the calculation gives 0.8906 μB/atom.

```
&SYSTEM
  ibrav = 0, nat = 5, ntyp = 4
/
ATOMIC_SPECIES
I 126.90 I.upf
Re 186.21 Re.upf
Pt 195.08 Pt.upf
Sb 121.76 Sb.upf
ATOMIC_POSITIONS crystal
I 0.000 0.500 0.000
I 0.500 0.000 0.000
Re 0.500 0.500 0.500
Pt 0.000 0.000 0.000
Sb 0.000 0.000 0.500
CELL_PARAMETERS angstrom
5.481 0.000 0.000
0.000 5.481 0.000
0.000 0.000 5.293
```

Entry x
# ReSbPtI2

ReSbPtI2 after structural relaxation (PBE-GGA, Alexandria via LeMat-Bulk). Values from VASP.

Calculated values
As for the symmetry: P4/mmm, No. 123. For the total magnetization, the calculation gives 0.0978 μB/atom.

```
&SYSTEM
  ibrav = 0, nat = 5, ntyp = 4
/
ATOMIC_SPECIES
I 126.90 I.upf
Re 186.21 Re.upf
Pt 195.08 Pt.upf
Sb 121.76 Sb.upf
ATOMIC_POSITIONS crystal
I 0.000 0.500 0.000
I 0.500 0.000 0.000
Re 0.000 0.000 0.000
Pt 0.500 0.500 0.500
Sb 0.000 0.000 0.500
CELL_PARAMETERS angstrom
5.320 0.000 0.000
0.000 5.320 0.000
0.000 0.000 5.158
```

The winner here is entry x, beating the second structure by 78 meV/atom.

Entry w
# PtRh2I

PtRh2I after structural relaxation (PBE-GGA, Alexandria via LeMat-Bulk). Values from VASP.

Calculated values
As for the symmetry: I-42d, No. 122. For the total magnetization, the calculation gives 0.0000 μB/atom.

```
&SYSTEM
  ibrav = 0, nat = 8, ntyp = 3
/
ATOMIC_SPECIES
I 126.90 I.upf
Rh 102.91 Rh.upf
Pt 195.08 Pt.upf
ATOMIC_POSITIONS crystal
I 0.500 0.500 0.000
I 0.250 0.750 0.500
Rh 0.638 0.125 0.250
Rh 0.112 0.625 0.250
Rh 0.375 0.362 0.750
Rh 0.875 0.888 0.750
Pt 0.000 0.000 0.000
Pt 0.750 0.250 0.500
CELL_PARAMETERS angstrom
5.379 0.000 0.000
0.000 5.379 0.000
2.689 2.689 6.671
```

Entry x
# PtRh2I

PtRh2I after structural relaxation (PBE-GGA, Alexandria via LeMat-Bulk). Values from VASP.

Calculated values
As for the symmetry: Fm-3m, No. 225. For the total magnetization, the calculation gives 0.0000 μB/atom.

```
&SYSTEM
  ibrav = 0, nat = 4, ntyp = 3
/
ATOMIC_SPECIES
I 126.90 I.upf
Rh 102.91 Rh.upf
Pt 195.08 Pt.upf
ATOMIC_POSITIONS crystal
I 0.000 0.000 0.000
Rh 0.250 0.250 0.250
Rh 0.750 0.750 0.750
Pt 0.500 0.500 0.500
CELL_PARAMETERS angstrom
0.314 -4.542 -0.433
-3.774 -2.502 -0.640
-0.778 -1.970 -4.053
```

The winner here is entry x, beating the second structure by 260 meV/atom.

Entry w
# RuPt2I2

RuPt2I2 after structural relaxation (PBE-GGA, Alexandria via LeMat-Bulk). Values from VASP.

Calculated values
As for the symmetry: I4/mmm, No. 139. For the total magnetization, the calculation gives 0.2897 μB/atom.

```
&SYSTEM
  ibrav = 0, nat = 5, ntyp = 3
/
ATOMIC_SPECIES
I 126.90 I.upf
Ru 101.07 Ru.upf
Pt 195.08 Pt.upf
ATOMIC_POSITIONS crystal
I 0.399 0.399 0.202
I 0.601 0.601 0.798
Ru 0.000 0.000 0.000
Pt 0.750 0.250 0.500
Pt 0.250 0.750 0.500
CELL_PARAMETERS angstrom
-0.664 2.444 -2.641
-3.380 -1.345 -0.395
-4.775 5.828 4.059
```

Entry x
# RuPt2I2

RuPt2I2 after structural relaxation (PBE-GGA, Alexandria via LeMat-Bulk). Values from VASP.

Calculated values
As for the symmetry: P4/mbm, No. 127. For the total magnetization, the calculation gives 0.0000 μB/atom.

```
&SYSTEM
  ibrav = 0, nat = 10, ntyp = 3
/
ATOMIC_SPECIES
I 126.90 I.upf
Ru 101.07 Ru.upf
Pt 195.08 Pt.upf
ATOMIC_POSITIONS crystal
I 0.316 0.816 0.000
I 0.816 0.684 0.000
I 0.684 0.184 0.000
I 0.184 0.316 0.000
Ru 0.000 0.000 0.000
Ru 0.500 0.500 0.000
Pt 0.134 0.634 0.500
Pt 0.634 0.866 0.500
Pt 0.866 0.366 0.500
Pt 0.366 0.134 0.500
CELL_PARAMETERS angstrom
-5.256 2.827 4.299
2.215 -4.304 5.539
2.448 2.769 1.173
```

The winner here is entry w, beating the second structure by 45 meV/atom.

Entry w
# RuPtI3

RuPtI3 after structural relaxation (PBE-GGA, Alexandria via LeMat-Bulk). Values from VASP.

Calculated values
As for the symmetry: Pm-3m, No. 221. For the total magnetization, the calculation gives 0.3821 μB/atom.

```
&SYSTEM
  ibrav = 0, nat = 5, ntyp = 3
/
ATOMIC_SPECIES
I 126.90 I.upf
Ru 101.07 Ru.upf
Pt 195.08 Pt.upf
ATOMIC_POSITIONS crystal
I 0.000 0.500 0.000
I 0.000 0.000 0.500
I 0.500 0.000 0.000
Ru 0.000 0.000 0.000
Pt 0.500 0.500 0.500
CELL_PARAMETERS angstrom
-1.112 5.179 0.540
-4.333 -0.614 -3.032
-2.887 -1.072 4.343
```

Entry x
# RuPtI3

RuPtI3 after structural relaxation (PBE-GGA, Alexandria via LeMat-Bulk). Values from VASP.

Calculated values
As for the symmetry: Pm-3m, No. 221. For the total magnetization, the calculation gives 0.6849 μB/atom.

```
&SYSTEM
  ibrav = 0, nat = 5, ntyp = 3
/
ATOMIC_SPECIES
I 126.90 I.upf
Ru 101.07 Ru.upf
Pt 195.08 Pt.upf
ATOMIC_POSITIONS crystal
I 0.000 0.500 0.000
I 0.000 0.000 0.500
I 0.500 0.000 0.000
Ru 0.500 0.500 0.500
Pt 0.000 0.000 0.000
CELL_PARAMETERS angstrom
5.444 0.000 0.000
0.000 5.444 0.000
0.000 0.000 5.444
```

The winner here is entry x, beating the second structure by 18 meV/atom.

Entry w
# PtS2I

PtS2I after structural relaxation (PBE-GGA, Alexandria via LeMat-Bulk). Values from VASP.

Calculated values
As for the symmetry: I-42d, No. 122. For the total magnetization, the calculation gives 0.0000 μB/atom.

```
&SYSTEM
  ibrav = 0, nat = 8, ntyp = 3
/
ATOMIC_SPECIES
I 126.90 I.upf
S 32.06 S.upf
Pt 195.08 Pt.upf
ATOMIC_POSITIONS crystal
I 0.500 0.500 0.000
I 0.250 0.750 0.500
S 0.716 0.125 0.250
S 0.034 0.625 0.250
S 0.375 0.284 0.750
S 0.875 0.966 0.750
Pt 0.000 0.000 0.000
Pt 0.750 0.250 0.500
CELL_PARAMETERS angstrom
-1.759 4.513 -4.682
-1.971 -4.992 -4.072
-6.022 -0.034 -2.617
```

Entry x
# PtS2I

PtS2I after structural relaxation (PBE-GGA, Alexandria via LeMat-Bulk). Values from VASP.

Calculated values
As for the symmetry: Fm-3m, No. 225. For the total magnetization, the calculation gives 0.0000 μB/atom.

```
&SYSTEM
  ibrav = 0, nat = 4, ntyp = 3
/
ATOMIC_SPECIES
I 126.90 I.upf
S 32.06 S.upf
Pt 195.08 Pt.upf
ATOMIC_POSITIONS crystal
I 0.000 0.000 0.000
S 0.250 0.250 0.250
S 0.750 0.750 0.750
Pt 0.500 0.500 0.500
CELL_PARAMETERS angstrom
0.000 3.345 3.345
3.345 0.000 3.345
3.345 3.345 0.000
```

The winner here is entry w, beating the second structure by 751 meV/atom.

Entry w
# Pt3SI

Pt3SI after structural relaxation (PBE-GGA, Alexandria via LeMat-Bulk). Values from VASP.

Calculated values
As for the symmetry: Pm-3m, No. 221. For the total magnetization, the calculation gives 0.0000 μB/atom.

```
&SYSTEM
  ibrav = 0, nat = 5, ntyp = 3
/
ATOMIC_SPECIES
I 126.90 I.upf
S 32.06 S.upf
Pt 195.08 Pt.upf
ATOMIC_POSITIONS crystal
I 0.000 0.000 0.000
S 0.500 0.500 0.500
Pt 0.000 0.500 0.000
Pt 0.000 0.000 0.500
Pt 0.500 0.000 0.000
CELL_PARAMETERS angstrom
-3.720 -0.617 3.274
3.310 -1.238 3.528
0.375 4.798 1.331
```

Entry x
# Pt3SI

Pt3SI after structural relaxation (PBE-GGA, Alexandria via LeMat-Bulk). Values from VASP.

Calculated values
As for the symmetry: Pm-3m, No. 221. For the total magnetization, the calculation gives 0.0000 μB/atom.

```
&SYSTEM
  ibrav = 0, nat = 5, ntyp = 3
/
ATOMIC_SPECIES
I 126.90 I.upf
S 32.06 S.upf
Pt 195.08 Pt.upf
ATOMIC_POSITIONS crystal
I 0.500 0.500 0.500
S 0.000 0.000 0.000
Pt 0.000 0.500 0.000
Pt 0.000 0.000 0.500
Pt 0.500 0.000 0.000
CELL_PARAMETERS angstrom
-3.779 -1.327 2.367
-0.035 -4.034 -2.318
2.714 -1.900 3.266
```

The winner here is entry x, beating the second structure by 927 meV/atom.

Entry w
# Sb2PtSI

Sb2PtSI after structural relaxation (PBE-GGA, Alexandria via LeMat-Bulk). Values from VASP.

Calculated values
As for the symmetry: P4/mmm, No. 123. For the total magnetization, the calculation gives 0.0000 μB/atom.

```
&SYSTEM
  ibrav = 0, nat = 5, ntyp = 4
/
ATOMIC_SPECIES
I 126.90 I.upf
Sb 121.76 Sb.upf
S 32.06 S.upf
Pt 195.08 Pt.upf
ATOMIC_POSITIONS crystal
I 0.000 0.000 0.500
Sb 0.000 0.500 0.000
Sb 0.500 0.000 0.000
S 0.000 0.000 0.000
Pt 0.500 0.500 0.500
CELL_PARAMETERS angstrom
-0.452 -3.257 -3.949
4.349 -2.336 1.429
-2.807 -3.343 3.077
```

Entry x
# Sb2PtSI

Sb2PtSI after structural relaxation (PBE-GGA, Alexandria via LeMat-Bulk). Values from VASP.

Calculated values
As for the symmetry: P4/mmm, No. 123. For the total magnetization, the calculation gives 0.0000 μB/atom.

```
&SYSTEM
  ibrav = 0, nat = 5, ntyp = 4
/
ATOMIC_SPECIES
I 126.90 I.upf
Sb 121.76 Sb.upf
S 32.06 S.upf
Pt 195.08 Pt.upf
ATOMIC_POSITIONS crystal
I 0.000 0.000 0.500
Sb 0.000 0.500 0.000
Sb 0.500 0.000 0.000
S 0.500 0.500 0.500
Pt 0.000 0.000 0.000
CELL_PARAMETERS angstrom
5.275 0.000 0.000
0.000 5.275 0.000
0.000 0.000 5.368
```

The winner here is entry x, beating the second structure by 397 meV/atom.